A relaxed structure of CsNpCdF6, computed with PBE. Values from VASP.

Cell and atoms, written as Quantum ESPRESSO input:
```
&SYSTEM
  ibrav = 0, nat = 18, ntyp = 4
/
ATOMIC_SPECIES
F 19.00 F.upf
Np 237.00 Np.upf
Cd 112.41 Cd.upf
Cs 132.91 Cs.upf
CELL_PARAMETERS angstrom
8.565 0.000 0.000
0.000 8.168 0.000
-4.283 -4.084 5.944
ATOMIC_POSITIONS crystal
F 0.570 0.320 0.140
F 0.560 0.326 0.735
F 0.175 0.326 0.735
F 0.825 0.674 0.265
F 0.430 0.680 0.860
Np 0.000 0.000 0.500
Cd 0.500 0.000 0.000
F 0.440 0.091 0.265
F 0.824 0.074 0.647
Np 0.500 0.000 0.500
F 0.175 0.909 0.735
F 0.825 0.091 0.265
Cd 0.500 0.500 0.000
F 0.560 0.909 0.735
F 0.176 0.926 0.353
Cs 0.181 0.431 0.363
F 0.440 0.674 0.265
Cs 0.819 0.569 0.637
```

Output
- size of the total moment (Bohr magnetons per cell) = 7.83
- theoretical density (g cm⁻³) = 4.76
- calculated total energy (eV per cell) = -103.2